First-principles (PBE) data for an optimized crystal structure of NaTlPd3, as listed in Alexandria.

abc: 5.130 5.130 5.130
angles: 90.00 90.00 90.00
Element x y z (fractional)
1 Na 0.000 0.000 0.000
2 Tl 0.500 0.500 0.500
3 Pd 0.000 0.500 0.500
4 Pd 0.500 0.000 0.500
5 Pd 0.500 0.500 0.000

E above lowest polymorph (meV/atom): 654.8

=====

First-principles (PBE) data for an optimized crystal structure of Na2Tl2Pd, as listed in Alexandria.

abc: 7.167 7.167 4.924
angles: 90.00 90.00 90.00
Element x y z (fractional)
1 Na 0.141 0.359 0.000
2 Na 0.359 0.859 0.000
3 Na 0.641 0.141 0.000
4 Na 0.859 0.641 0.000
5 Tl 0.179 0.679 0.500
6 Tl 0.321 0.179 0.500
7 Tl 0.679 0.821 0.500
8 Tl 0.821 0.321 0.500
9 Pd 0.000 0.000 0.000
10 Pd 0.500 0.500 0.000

E above lowest polymorph (meV/atom): 207.4

=====

First-principles (PBE) data for an optimized crystal structure of NaTl5Pd3, as listed in Alexandria.

abc: 7.149 7.149 9.739
angles: 103.36 103.36 91.31
Element x y z (fractional)
1 Na 0.241 0.241 0.248
2 Na 0.759 0.759 0.752
3 Tl 0.243 0.243 0.570
4 Tl 0.243 0.243 0.924
5 Tl 0.259 0.726 0.330
6 Tl 0.264 0.736 0.000
7 Tl 0.274 0.741 0.670
8 Tl 0.726 0.259 0.330
9 Tl 0.736 0.264 0.000
10 Tl 0.741 0.274 0.670
11 Tl 0.757 0.757 0.076
12 Tl 0.757 0.757 0.430
13 Pd 0.000 0.000 0.000
14 Pd 0.012 0.012 0.667
15 Pd 0.488 0.488 0.830
16 Pd 0.500 0.500 0.500
17 Pd 0.512 0.512 0.170
18 Pd 0.988 0.988 0.333

VASP energy (eV per cell): -58.93

=====

> Which formula does entry 1 have?

NaTlPd3

=====

> Which formula does entry 2 have?

Na2Tl2Pd

=====

> What is the formula in the second record?

Na2Tl2Pd